No. 1
{"formula": "La4SiAg2", "functional": "GGA-PBE", "state": "optimized geometry", "spacegroup": "No. 166", "e_form_raw_ev_per_atom": -0.229, "energy_ev_per_atom": -4.6339, "total_magnetization_mub_per_fu": 1.30, "lattice": [[2.6680, 1.5404, 8.5875], [-2.6680, 1.5404, 8.5875], [0.0000, -3.0808, 8.5875]], "species": ["La", "La", "La", "La", "Si", "Ag", "Ag"], "frac_coords": [[0.1209, 0.1209, 0.1209], [0.3729, 0.3729, 0.3729], [0.6271, 0.6271, 0.6271], [0.8791, 0.8791, 0.8791], [0.0000, 0.0000, 0.0000], [0.2453, 0.2453, 0.2453], [0.7547, 0.7547, 0.7547]]}

No. 2
{"formula": "Tb4PmPrDy2", "functional": "GGA-PBE", "state": "optimized geometry", "spacegroup": "No. 15", "energy_ev_per_atom": -4.2391, "total_magnetization_mub_per_fu": 0.05, "formation_enthalpy_0k_ev_per_atom": 0.418, "lattice": [[6.8370, -6.6270, 0.0000], [6.8370, 6.6270, 0.0000], [-3.4034, 0.0000, 5.9181]], "species": ["Tb", "Tb", "Tb", "Tb", "Tb", "Tb", "Tb", "Tb", "Pm", "Pm", "Pr", "Pr", "Dy", "Dy", "Dy", "Dy"], "frac_coords": [[0.2357, 0.7438, 0.9896], [0.2452, 0.2481, 0.4925], [0.2481, 0.2452, 0.9925], [0.2562, 0.7643, 0.5104], [0.7438, 0.2357, 0.4896], [0.7519, 0.7548, 0.0075], [0.7548, 0.7519, 0.5075], [0.7643, 0.2562, 0.0104], [0.0000, 0.5000, 0.0000], [0.5000, 0.0000, 0.5000], [0.5000, 0.5000, 0.0000], [0.5000, 0.5000, 0.5000], [0.0000, 0.0000, 0.0000], [0.0000, 0.0000, 0.5000], [0.0000, 0.5000, 0.5000], [0.5000, 0.0000, 0.0000]]}

No. 3
{"formula": "KTaTe3", "functional": "GGA-PBE", "state": "optimized geometry", "spacegroup": "No. 14", "e_form_raw_ev_per_atom": -0.455, "energy_ev_per_atom": -4.9298, "total_magnetization_mub_per_fu": 0.00, "relative_energy_mev_per_atom": 107, "lattice": [[10.4098, 0.0000, 0.0000], [0.0000, 7.0669, 0.0000], [-3.4739, 0.0000, 9.4894]], "species": ["K", "K", "K", "K", "Ta", "Ta", "Ta", "Ta", "Te", "Te", "Te", "Te", "Te", "Te", "Te", "Te", "Te", "Te", "Te", "Te"], "frac_coords": [[0.1240, 0.1759, 0.1299], [0.1240, 0.3241, 0.6299], [0.8760, 0.6759, 0.3701], [0.8760, 0.8241, 0.8701], [0.3959, 0.7314, 0.8756], [0.3959, 0.7686, 0.3756], [0.6041, 0.2314, 0.6244], [0.6041, 0.2686, 0.1244], [0.1478, 0.6595, 0.2215], [0.1478, 0.8405, 0.7215], [0.3277, 0.0844, 0.4796], [0.3277, 0.4156, 0.9796], [0.4499, 0.5753, 0.6384], [0.4499, 0.9247, 0.1384], [0.5501, 0.0753, 0.8616], [0.5501, 0.4247, 0.3616], [0.6723, 0.5844, 0.0204], [0.6723, 0.9156, 0.5204], [0.8522, 0.1595, 0.2785], [0.8522, 0.3405, 0.7785]]}

No. 4
{"formula": "TbGeO4", "functional": "GGA-PBE", "state": "optimized geometry", "spacegroup": "No. 15", "e_form_raw_ev_per_atom": -2.121, "energy_ev_per_atom": -6.9674, "total_magnetization_mub_per_fu": 1.02, "lattice": [[5.4185, -2.5992, 0.0000], [5.4185, 2.5992, 0.0000], [-2.2090, 0.0000, 4.8975]], "species": ["Tb", "Tb", "Ge", "Ge", "O", "O", "O", "O", "O", "O", "O", "O"], "frac_coords": [[0.2191, 0.7809, 0.7500], [0.7809, 0.2191, 0.2500], [0.0000, 0.5000, 0.0000], [0.5000, 0.0000, 0.5000], [0.1242, 0.2112, 0.6698], [0.2112, 0.1242, 0.1698], [0.3095, 0.5082, 0.0507], [0.4918, 0.6905, 0.4493], [0.5082, 0.3095, 0.5507], [0.6905, 0.4918, 0.9493], [0.7888, 0.8758, 0.8302], [0.8758, 0.7888, 0.3302]]}

No. 5
{"formula": "Sc2CrRe", "functional": "GGA-PBE", "state": "optimized geometry", "spacegroup": "No. 12", "energy_ev_per_atom": -8.4241, "total_magnetization_mub_per_fu": 2.13, "formation_enthalpy_0k_ev_per_atom": 0.260, "relative_energy_mev_per_atom": 277, "lattice": [[5.7190, 0.0000, 0.0000], [0.0000, 8.8907, 0.0000], [-0.9855, 0.0000, 2.6987]], "species": ["Sc", "Sc", "Sc", "Sc", "Cr", "Cr", "Re", "Re"], "frac_coords": [[0.2500, 0.2500, 0.0000], [0.2500, 0.7500, 0.0000], [0.7500, 0.2500, 0.0000], [0.7500, 0.7500, 0.0000], [0.0000, 0.0000, 0.5000], [0.5000, 0.5000, 0.5000], [0.0000, 0.5000, 0.5000], [0.5000, 0.0000, 0.5000]]}

No. 6
{"formula": "Pa2PbO", "functional": "GGA-PBE", "state": "optimized geometry", "spacegroup": "No. 166", "e_form_raw_ev_per_atom": -1.148, "energy_ev_per_atom": -8.0622, "total_magnetization_mub_per_fu": 0.00, "relative_energy_mev_per_atom": 0, "lattice": [[3.3437, 0.0000, 0.0000], [-1.6719, 2.8958, 0.0000], [0.0000, 0.0000, 26.1603]], "species": ["Pa", "Pa", "Pa", "Pa", "Pa", "Pa", "Pb", "Pb", "Pb", "O", "O", "O"], "frac_coords": [[0.0000, 0.0000, 0.2258], [0.0000, 0.0000, 0.7742], [0.3333, 0.6667, 0.4409], [0.3333, 0.6667, 0.8925], [0.6667, 0.3333, 0.1075], [0.6667, 0.3333, 0.5591], [0.0000, 0.0000, 0.0000], [0.3333, 0.6667, 0.6667], [0.6667, 0.3333, 0.3333], [0.0000, 0.0000, 0.5000], [0.3333, 0.6667, 0.1667], [0.6667, 0.3333, 0.8333]]}

No. 7
{"formula": "Nd8Ge3Te3Se", "functional": "GGA-PBE", "state": "optimized geometry", "spacegroup": "No. 166", "e_form_raw_ev_per_atom": -1.192, "energy_ev_per_atom": -5.5191, "total_magnetization_mub_per_fu": 0.00, "lattice": [[4.3452, 2.5087, 7.2146], [-4.3452, 2.5087, 7.2146], [0.0000, -5.0174, 7.2146]], "species": ["Nd", "Nd", "Nd", "Nd", "Nd", "Nd", "Nd", "Nd", "Ge", "Ge", "Ge", "Te", "Te", "Te", "Se"], "frac_coords": [[0.2337, 0.7475, 0.7475], [0.2420, 0.2420, 0.2420], [0.2525, 0.2525, 0.7663], [0.2525, 0.7663, 0.2525], [0.7475, 0.2337, 0.7475], [0.7475, 0.7475, 0.2337], [0.7580, 0.7580, 0.7580], [0.7663, 0.2525, 0.2525], [0.0000, 0.0000, 0.5000], [0.0000, 0.5000, 0.0000], [0.5000, 0.0000, 0.0000], [0.0000, 0.5000, 0.5000], [0.5000, 0.0000, 0.5000], [0.5000, 0.5000, 0.0000], [0.5000, 0.5000, 0.5000]]}

No. 8
{"formula": "Sr2TcPt", "functional": "GGA-PBE", "state": "optimized geometry", "spacegroup": "No. 216", "energy_ev_per_atom": -4.4935, "total_magnetization_mub_per_fu": 2.62, "formation_enthalpy_0k_ev_per_atom": 0.449, "relative_energy_mev_per_atom": 524, "lattice": [[7.2440, 0.0000, 0.0000], [0.0000, 7.2440, 0.0000], [0.0000, 0.0000, 7.2440]], "species": ["Sr", "Sr", "Sr", "Sr", "Sr", "Sr", "Sr", "Sr", "Tc", "Tc", "Tc", "Tc", "Pt", "Pt", "Pt", "Pt"], "frac_coords": [[0.0000, 0.0000, 0.0000], [0.0000, 0.5000, 0.5000], [0.2500, 0.2500, 0.2500], [0.2500, 0.7500, 0.7500], [0.5000, 0.0000, 0.5000], [0.5000, 0.5000, 0.0000], [0.7500, 0.2500, 0.7500], [0.7500, 0.7500, 0.2500], [0.0000, 0.0000, 0.5000], [0.0000, 0.5000, 0.0000], [0.5000, 0.0000, 0.0000], [0.5000, 0.5000, 0.5000], [0.2500, 0.2500, 0.7500], [0.2500, 0.7500, 0.2500], [0.7500, 0.2500, 0.2500], [0.7500, 0.7500, 0.7500]]}

Copy entry 8 word for word.
{"formula": "Sr2TcPt", "functional": "GGA-PBE", "state": "optimized geometry", "spacegroup": "No. 216", "energy_ev_per_atom": -4.4935, "total_magnetization_mub_per_fu": 2.62, "formation_enthalpy_0k_ev_per_atom": 0.449, "relative_energy_mev_per_atom": 524, "lattice": [[7.2440, 0.0000, 0.0000], [0.0000, 7.2440, 0.0000], [0.0000, 0.0000, 7.2440]], "species": ["Sr", "Sr", "Sr", "Sr", "Sr", "Sr", "Sr", "Sr", "Tc", "Tc", "Tc", "Tc", "Pt", "Pt", "Pt", "Pt"], "frac_coords": [[0.0000, 0.0000, 0.0000], [0.0000, 0.5000, 0.5000], [0.2500, 0.2500, 0.2500], [0.2500, 0.7500, 0.7500], [0.5000, 0.0000, 0.5000], [0.5000, 0.5000, 0.0000], [0.7500, 0.2500, 0.7500], [0.7500, 0.7500, 0.2500], [0.0000, 0.0000, 0.5000], [0.0000, 0.5000, 0.0000], [0.5000, 0.0000, 0.0000], [0.5000, 0.5000, 0.5000], [0.2500, 0.2500, 0.7500], [0.2500, 0.7500, 0.2500], [0.7500, 0.2500, 0.2500], [0.7500, 0.7500, 0.7500]]}